*one*
DFT (GGA-PBE) results for an optimized crystal structure of SrLaPt.

Summary:
N(E_F), states/eV per cell: 5.46
Total magnetic moment, Bohr magnetons per cell: 0.00
Space-group type: P2_1/m, No. 11

Cell lengths 5.8056, 4.6654, 7.9194 Å; angles 90.00, 106.44, 90.00 degrees
Sites, in units of the cell vectors:
Sr: 0.7451 0.2500 0.4271
Sr: 0.2549 0.7500 0.5729
Pt: 0.1898 0.2500 0.8191
Pt: 0.8102 0.7500 0.1809
La: 0.7336 0.2500 0.9399
La: 0.2664 0.7500 0.0601

---

*two*
DFT (GGA-PBE) results for an optimized crystal structure of SrLaPt.

Summary:
N(E_F), states/eV per cell: 2.38
Total magnetic moment, Bohr magnetons per cell: 0.00
Space-group type: P3m1, No. 156

Cell lengths 4.3229, 4.3229, 7.0207 Å; angles 90.00, 90.00, 120.00 degrees
Sites, in units of the cell vectors:
Sr: 0.3333 0.6667 0.5743
Pt: 0.6667 0.3333 0.3136
La: 0.0000 0.0000 0.1121

---

*one* (3.9 kJ/mol of atoms below the next structure)

---

*one*
DFT (GGA-PBE) results for an optimized crystal structure of SrLaPt.

Summary:
N(E_F), states/eV per cell: 4.67
Total magnetic moment, Bohr magnetons per cell: 0.00
Space-group type: Pmmn, No. 59

Cell lengths 5.8331, 8.5967, 4.4504 Å; angles 90.00, 90.00, 90.00 degrees
Sites, in units of the cell vectors:
Sr: 0.0000 0.6261 0.5000
Sr: 0.5000 0.3739 0.0000
Pt: 0.0000 0.8678 0.0000
Pt: 0.5000 0.1322 0.5000
La: 0.0000 0.0948 0.5000
La: 0.5000 0.9052 0.0000

---

*two*
DFT (GGA-PBE) results for an optimized crystal structure of SrLaPt.

Summary:
N(E_F), states/eV per cell: 2.42
Total magnetic moment, Bohr magnetons per cell: 0.00
Space-group type: I4mm, No. 107

Cell lengths 7.4279, 7.4282, 3.7516 Å; angles 75.37, 75.38, 29.25 degrees
Sites, in units of the cell vectors:
La: 0.9510 0.9510 0.0490
Pt: 0.3467 0.3467 0.6533
Sr: 0.7023 0.7023 0.2977

---

*one* (11.1 kJ/mol of atoms below the next structure)

---

*one*
DFT (GGA-PBE) results for an optimized crystal structure of SrLaPt.

Summary:
N(E_F), states/eV per cell: 11.59
Total magnetic moment, Bohr magnetons per cell: 0.00
Space-group type: C2/m, No. 12

Cell lengths 8.9427, 4.1651, 13.6498 Å; angles 90.00, 126.68, 90.00 degrees
Sites, in units of the cell vectors:
Sr: 0.8793 0.0000 0.0721
Sr: 0.1207 0.0000 0.9279
Sr: 0.8793 0.5000 0.5721
Sr: 0.1207 0.5000 0.4279
Pt: 0.2209 0.0000 0.6378
Pt: 0.7791 0.0000 0.3622
Pt: 0.2209 0.5000 0.1378
Pt: 0.7791 0.5000 0.8622
La: 0.5857 0.0000 0.6799
La: 0.4143 0.0000 0.3201
La: 0.5857 0.5000 0.1799
La: 0.4143 0.5000 0.8201

---

*two*
DFT (GGA-PBE) results for an optimized crystal structure of SrLaPt.

Summary:
N(E_F), states/eV per cell: 6.49
Total magnetic moment, Bohr magnetons per cell: 0.12
Space-group type: C2/m, No. 12

Cell lengths 4.0333, 6.2968, 14.4144 Å; angles 139.82, 90.00, 108.68 degrees
Sites, in units of the cell vectors:
Pt: 0.9377 0.8754 0.8533
Pt: 0.0623 0.1246 0.1467
La: 0.7411 0.4822 0.3724
La: 0.2589 0.5178 0.6276
Sr: 0.7605 0.5211 0.1245
Sr: 0.2395 0.4789 0.8755

---

*three*
DFT (GGA-PBE) results for an optimized crystal structure of SrLaPt.

Summary:
N(E_F), states/eV per cell: 2.32
Total magnetic moment, Bohr magnetons per cell: 0.00
Space-group type: P4/mmm, No. 123

Cell lengths 4.1667, 4.1667, 6.1936 Å; angles 90.00, 90.00, 90.00 degrees
Sites, in units of the cell vectors:
Sr: 0.0000 0.0000 0.0000
Pt: 0.0000 0.0000 0.5000
La: 0.5000 0.5000 0.5000

---

*four*
DFT (GGA-PBE) results for an optimized crystal structure of SrLaPt.

Summary:
N(E_F), states/eV per cell: 4.23
Total magnetic moment, Bohr magnetons per cell: 0.00
Space-group type: P-3m1, No. 164

Cell lengths 4.3678, 4.3678, 13.9228 Å; angles 90.00, 90.00, 120.00 degrees
Sites, in units of the cell vectors:
Sr: 0.0000 0.0000 0.6584
Sr: 0.0000 0.0000 0.3416
La: 0.3333 0.6667 0.1135
La: 0.6667 0.3333 0.8865
Pt: 0.3333 0.6667 0.7859
Pt: 0.6667 0.3333 0.2141

---

*three* (4.9 kJ/mol of atoms below the next structure)

---

*one*
DFT (GGA-PBE) results for an optimized crystal structure of SrLa2Pt2.

Summary:
N(E_F), states/eV per cell: 10.28
Total magnetic moment, Bohr magnetons per cell: 0.00
Space-group type: P4/mbm, No. 127

Cell lengths 8.6789, 8.6789, 3.5359 Å; angles 90.00, 90.00, 90.00 degrees
Sites, in units of the cell vectors:
Sr: 0.0000 0.0000 0.0000
Sr: 0.5000 0.5000 0.0000
Pt: 0.1635 0.6635 0.5000
Pt: 0.6635 0.8365 0.5000
Pt: 0.8365 0.3365 0.5000
Pt: 0.3365 0.1635 0.5000
La: 0.3621 0.8621 0.0000
La: 0.8621 0.6379 0.0000
La: 0.6379 0.1379 0.0000
La: 0.1379 0.3621 0.0000

---

*two*
DFT (GGA-PBE) results for an optimized crystal structure of SrLa2Pt2.

Summary:
N(E_F), states/eV per cell: 4.25
Total magnetic moment, Bohr magnetons per cell: 0.00
Space-group type: I4/mmm, No. 139

Cell lengths 5.0210, 5.0210, 6.9548 Å; angles 68.84, 68.84, 90.00 degrees
Sites, in units of the cell vectors:
Sr: 0.0000 0.0000 0.0000
Pt: 0.3865 0.3865 0.2270
Pt: 0.6135 0.6135 0.7730
La: 0.7500 0.2500 0.5000
La: 0.2500 0.7500 0.5000

---

*three*
DFT (GGA-PBE) results for an optimized crystal structure of SrLa2Pt2.

Summary:
N(E_F), states/eV per cell: 9.51
Total magnetic moment, Bohr magnetons per cell: 0.00
Space-group type: P4/mbm, No. 127

Cell lengths 8.2533, 8.2533, 4.0924 Å; angles 90.00, 90.00, 90.00 degrees
Sites, in units of the cell vectors:
Sr: 0.0000 0.0000 0.0000
Sr: 0.5000 0.5000 0.0000
Pt: 0.3630 0.8630 0.0000
Pt: 0.8630 0.6370 0.0000
Pt: 0.6370 0.1370 0.0000
Pt: 0.1370 0.3630 0.0000
La: 0.1549 0.6549 0.5000
La: 0.6549 0.8451 0.5000
La: 0.8451 0.3451 0.5000
La: 0.3451 0.1549 0.5000

---

*three* (9.6 kJ/mol of atoms below the next structure)

---

*one*
DFT (GGA-PBE) results for an optimized crystal structure of La2TaPt.

Summary:
N(E_F), states/eV per cell: 4.95
Total magnetic moment, Bohr magnetons per cell: 0.00
Space-group type: F-43m, No. 216

Cell lengths 5.0386, 5.0386, 5.0386 Å; angles 60.00, 60.00, 60.00 degrees
Sites, in units of the cell vectors:
La: 0.0000 0.0000 0.0000
La: 0.2500 0.2500 0.2500
Pt: 0.5000 0.5000 0.5000
Ta: 0.7500 0.7500 0.7500

---

*two*
DFT (GGA-PBE) results for an optimized crystal structure of La2TaPt.

Summary:
N(E_F), states/eV per cell: 5.51
Total magnetic moment, Bohr magnetons per cell: 0.01
Space-group type: Immm, No. 71

Cell lengths 5.6515, 5.6515, 5.2479 Å; angles 62.39, 62.39, 41.66 degrees
Sites, in units of the cell vectors:
La: 0.9820 0.9820 0.0184
La: 0.5180 0.5180 0.4816
Pt: 0.2500 0.2500 0.2500
Ta: 0.7500 0.7500 0.7500

---

*one* (2.6 kJ/mol of atoms below the next structure)

---

*one*
DFT (GGA-PBE) results for an optimized crystal structure of La2TaPt.

Summary:
N(E_F), states/eV per cell: 3.63
Total magnetic moment, Bohr magnetons per cell: 0.00
Space-group type: Cm, No. 8

Cell lengths 6.5600, 6.5600, 5.1826 Å; angles 66.89, 66.89, 31.03 degrees
Sites, in units of the cell vectors:
La: 0.0197 0.0197 0.9810
La: 0.2218 0.2218 0.2771
Pt: 0.4599 0.4599 0.5413
Ta: 0.7986 0.7986 0.7006

---

*two*
DFT (GGA-PBE) results for an optimized crystal structure of La2TaPt.

Summary:
N(E_F), states/eV per cell: 4.48
Total magnetic moment, Bohr magnetons per cell: 1.22
Space-group type: R3m, No. 160

Cell lengths 7.7386, 7.7386, 7.7386 Å; angles 33.15, 33.15, 33.15 degrees
Last column: magnetic moment on the atom in μB.
Sites, in units of the cell vectors:
La: 0.0290 0.0290 0.0290  0.22
La: 0.2200 0.2200 0.2200  0.16
Pt: 0.4657 0.4657 0.4657  0.02
Ta: 0.7853 0.7853 0.7853  0.05

---

*three*
DFT (GGA-PBE) results for an optimized crystal structure of La2TaPt.

Summary:
N(E_F), states/eV per cell: 4.82
Total magnetic moment, Bohr magnetons per cell: 0.00
Space-group type: Amm2, No. 38

Cell lengths 4.2984, 4.6666, 6.0060 Å; angles 67.13, 90.00, 90.00 degrees
Sites, in units of the cell vectors:
La: 0.0000 0.9694 0.9364
La: 0.5000 0.2748 0.3249
Pt: 0.0000 0.6891 0.4963
Ta: 0.5000 0.5667 0.7424

---

*three* (3.4 kJ/mol of atoms below the next structure)

---

*one*
DFT (GGA-PBE) results for an optimized crystal structure of La2TaPt.

Summary:
N(E_F), states/eV per cell: 5.05
Total magnetic moment, Bohr magnetons per cell: 0.00
Space-group type: I-4m2, No. 119

Cell lengths 5.9992, 5.9992, 5.9992 Å; angles 137.65, 137.65, 61.44 degrees
Sites, in units of the cell vectors:
La: 0.0000 0.0000 0.0000
La: 0.2500 0.7500 0.5000
Pt: 0.5000 0.5000 0.0000
Ta: 0.7500 0.2500 0.5000

---

*two*
DFT (GGA-PBE) results for an optimized crystal structure of La2TaPt.

Summary:
N(E_F), states/eV per cell: 5.23
Total magnetic moment, Bohr magnetons per cell: 0.00
Space-group type: Cmmm, No. 65

Cell lengths 5.4684, 8.4498, 3.3249 Å; angles 66.84, 89.99, 130.77 degrees
Sites, in units of the cell vectors:
La: 0.0000 0.0000 0.0000
La: 0.0000 0.5000 0.5000
Pt: 0.5000 0.5000 0.0000
Ta: 0.5000 0.0000 0.5000

---

*two* (9.2 kJ/mol of atoms below the next structure)

---

*one*
DFT (GGA-PBE) results for an optimized crystal structure of La2TaPt.

Summary:
N(E_F), states/eV per cell: 4.98
Total magnetic moment, Bohr magnetons per cell: 0.00
Space-group type: P4mm, No. 99

Cell lengths 3.3640, 3.3640, 9.2504 Å; angles 90.00, 90.00, 90.00 degrees
Sites, in units of the cell vectors:
La: 0.0000 0.0000 0.9424
La: 0.5000 0.5000 0.3123
Pt: 0.0000 0.0000 0.5528
Ta: 0.5000 0.5000 0.6925

---

*two*
DFT (GGA-PBE) results for an optimized crystal structure of La2TaPt.

Summary:
N(E_F), states/eV per cell: 12.27
Total magnetic moment, Bohr magnetons per cell: 0.00
Space-group type: I-42d, No. 122

Cell lengths 8.1985, 8.1985, 6.5514 Å; angles 51.27, 51.27, 90.00 degrees
Sites, in units of the cell vectors:
La: 0.6489 0.1250 0.2500
La: 0.1011 0.6250 0.2500
La: 0.3750 0.3511 0.7500
La: 0.8750 0.8989 0.7500
Pt: 0.0000 0.0000 0.0000
Pt: 0.7500 0.2500 0.5000
Ta: 0.5000 0.5000 0.0000
Ta: 0.2500 0.7500 0.5000

---

*one* (41.8 kJ/mol of atoms below the next structure)

---

*one*
DFT (GGA-PBE) results for an optimized crystal structure of La2TaPt.

Summary:
N(E_F), states/eV per cell: 3.97
Total magnetic moment, Bohr magnetons per cell: 2.13
Space-group type: Fm-3m, No. 225

Cell lengths 5.2362, 5.2362, 5.2362 Å; angles 60.00, 60.00, 60.00 degrees
Last column: magnetic moment on the atom in μB.
Sites, in units of the cell vectors:
La: 0.2500 0.2500 0.2500  0.14
La: 0.7500 0.7500 0.7500  0.14
Pt: 0.5000 0.5000 0.5000  0.07
Ta: 0.0000 0.0000 0.0000  1.15

---

*two*
DFT (GGA-PBE) results for an optimized crystal structure of La2TaPt.

Summary:
N(E_F), states/eV per cell: 3.46
Total magnetic moment, Bohr magnetons per cell: 0.00
Space-group type: P2/m, No. 10

Cell lengths 3.4948, 3.4824, 9.0465 Å; angles 67.46, 90.00, 90.00 degrees
Sites, in units of the cell vectors:
La: 0.0000 0.9790 0.0211
La: 0.0000 0.5210 0.4789
Pt: 0.5000 0.2500 0.2500
Ta: 0.5000 0.7500 0.7500

---

*three*
DFT (GGA-PBE) results for an optimized crystal structure of La2TaPt.

Summary:
N(E_F), states/eV per cell: 3.21
Total magnetic moment, Bohr magnetons per cell: 0.00
Space-group type: Pmmm, No. 47

Cell lengths 3.6061, 5.3262, 4.8117 Å; angles 90.00, 90.00, 90.00 degrees
Sites, in units of the cell vectors:
La: 0.0000 0.0000 0.0000
La: 0.5000 0.5000 0.0000
Pt: 0.5000 0.0000 0.5000
Ta: 0.0000 0.5000 0.5000

---

*two* (15.0 kJ/mol of atoms below the next structure)

---

*one*
DFT (GGA-PBE) results for an optimized crystal structure of LaTaPt.

Summary:
N(E_F), states/eV per cell: 1.81
Total magnetic moment, Bohr magnetons per cell: 0.00
Space-group type: P-6m2, No. 187

Cell lengths 4.3998, 4.3998, 4.5700 Å; angles 90.00, 90.00, 120.00 degrees
Sites, in units of the cell vectors:
La: 0.0000 0.0000 0.9999
Pt: 0.6667 0.3333 0.5002
Ta: 0.3333 0.6667 0.4998

---

*two*
DFT (GGA-PBE) results for an optimized crystal structure of LaTaPt.

Summary:
N(E_F), states/eV per cell: 4.36
Total magnetic moment, Bohr magnetons per cell: 0.51
Space-group type: F-43m, No. 216

Cell lengths 4.6834, 4.6834, 4.6834 Å; angles 60.00, 60.00, 60.00 degrees
Last column: magnetic moment on the atom in μB.
Sites, in units of the cell vectors:
La: 0.2500 0.2500 0.2500  0.07
Pt: 0.0000 0.0000 0.0000  -0.01
Ta: 0.5000 0.5000 0.5000  0.35

---

*one* (124.3 kJ/mol of atoms below the next structure)

---

*one*
DFT (GGA-PBE) results for an optimized crystal structure of LaTbZnPt.

Summary:
N(E_F), states/eV per cell: 3.56
Total magnetic moment, Bohr magnetons per cell: 0.00
Space-group type: Amm2, No. 38

Cell lengths 3.9784, 4.5354, 5.8358 Å; angles 90.00, 109.93, 90.00 degrees
Sites, in units of the cell vectors:
La: 0.1427 0.0000 0.2854
Tb: 0.8620 0.5000 0.7240
Zn: 0.5709 0.5000 0.1419
Pt: 0.4244 0.0000 0.8487

---

*two*
DFT (GGA-PBE) results for an optimized crystal structure of LaTbZnPt.

Summary:
N(E_F), states/eV per cell: 3.19
Total magnetic moment, Bohr magnetons per cell: 0.00
Space-group type: F-43m, No. 216

Cell lengths 5.1307, 5.1307, 5.1307 Å; angles 60.00, 60.00, 60.00 degrees
Sites, in units of the cell vectors:
Zn: 0.2500 0.2500 0.2500
Tb: 0.0000 0.0000 0.0000
Pt: 0.7500 0.7500 0.7500
La: 0.5000 0.5000 0.5000

---

*one* (4.2 kJ/mol of atoms below the next structure)

---

*one*
DFT (GGA-PBE) results for an optimized crystal structure of LaTe2Pt2.

Summary:
N(E_F), states/eV per cell: 3.29
Total magnetic moment, Bohr magnetons per cell: 0.00
Space-group type: I4/mmm, No. 139

Cell lengths 4.2915, 4.2915, 7.1837 Å; angles 72.62, 72.62, 90.00 degrees
Sites, in units of the cell vectors:
Te: 0.3788 0.3788 0.2424
Te: 0.6212 0.6212 0.7576
Pt: 0.7500 0.2500 0.5000
Pt: 0.2500 0.7500 0.5000
La: 0.0000 0.0000 0.0000

---

*two*
DFT (GGA-PBE) results for an optimized crystal structure of LaTe2Pt2.

Summary:
N(E_F), states/eV per cell: 2.49
Total magnetic moment, Bohr magnetons per cell: 0.00
Space-group type: I4/mmm, No. 139

Cell lengths 5.0883, 5.0883, 5.9472 Å; angles 64.67, 64.67, 90.00 degrees
Sites, in units of the cell vectors:
Te: 0.7500 0.2500 0.5000
Te: 0.2500 0.7500 0.5000
Pt: 0.3541 0.3541 0.2919
Pt: 0.6459 0.6459 0.7081
La: 0.0000 0.0000 0.0000

---

*two* (7.2 kJ/mol of atoms below the next structure)